Record 1
## La4InAsI2 (PBE)

Data for a relaxed structure of La4InAsI2.

E ... -38.58 eV/cell
Density ... 6.08 Mg/m³
Formation energy (no corrections) ... -1047.4 meV per atom

Unit cell a=4.5019 b=7.9085 c=8.0927 alpha=108.76 beta=90.00 gamma=90.00
Last column: nearest neighbours and their distance in Å.
Fractional coordinates of all 8 atoms:
1 La 0.0000 0.7246 0.2108  2 As 3.03, 1 In 3.17, 1 I 3.36
2 La 0.5000 0.2555 0.2230  1 As 3.04, 2 In 3.17, 2 I 3.32
3 La 0.5000 0.7445 0.7770  1 As 3.04, 2 In 3.17, 2 I 3.32
4 La 0.0000 0.2754 0.7892  2 As 3.03, 1 In 3.17, 1 I 3.36
5 In 0.0000 0.0000 0.0000  6 La 3.17
6 I 0.0000 0.5000 0.5000  6 La 3.32-3.36
7 I 0.5000 0.0000 0.5000  6 La 3.47
8 As 0.5000 0.5000 0.0000  6 La 3.03-3.04

---

Record 2
## ZnTe4P (PBE)

Data for a relaxed structure of ZnTe4P.

E ... -14.41 eV/cell
Density ... 5.85 Mg/m³
Formation energy (no corrections) ... 807.2 meV per atom

Unit cell a=6.2470 b=6.2470 c=6.2470 alpha=60.00 beta=60.00 gamma=60.00
Last column: nearest neighbours and their distance in Å.
Fractional coordinates of all 6 atoms:
1 Te 0.3739 0.8782 0.3739  6 Te 3.10-3.15
2 Te 0.3739 0.3739 0.3739  6 Te 3.10-3.15
3 Te 0.8782 0.3739 0.3739  6 Te 3.10-3.15
4 Te 0.3739 0.3739 0.8782  6 Te 3.10-3.15
5 P 0.0000 0.0000 0.0000  12 Te 3.66, 4 Zn 3.83
6 Zn 0.7500 0.7500 0.7500  12 Te 3.67, 4 P 3.83

---

Record 3
## Pm2Al2Ga3 (PBE)

Data for a relaxed structure of Pm2Al2Ga3.

E ... -59.40 eV/cell
Relative energy among the computed polymorphs ... 0.000 eV/atom
DFT formation energy ... -0.519 eV per atom
Density ... 6.14 Mg/m³

Unit cell a=4.3246 b=7.2127 c=9.8302 alpha=90.00 beta=102.71 gamma=90.00
Last column: nearest neighbours and their distance in Å.
Fractional coordinates of all 14 atoms:
1 Al 0.3235 0.0669 0.6470  3 Ga 2.52-2.69, 1 Al 2.64
2 Al 0.6765 0.9331 0.3530  3 Ga 2.52-2.69, 1 Al 2.64
3 Al 0.6765 0.5669 0.3530  3 Ga 2.52-2.69, 1 Al 2.64
4 Al 0.3235 0.4331 0.6470  3 Ga 2.52-2.69, 1 Al 2.64
5 Ga 0.7763 0.2500 0.5526  6 Al 2.69-2.98
6 Ga 0.4432 0.5771 0.8865  2 Ga 2.44-2.49, 1 Al 2.52
7 Ga 0.5568 0.4229 0.1135  2 Ga 2.44-2.49, 1 Al 2.52
8 Ga 0.4432 0.9229 0.8865  2 Ga 2.44-2.49, 1 Al 2.52
9 Ga 0.5568 0.0771 0.1135  2 Ga 2.44-2.49, 1 Al 2.52
10 Ga 0.2237 0.7500 0.4474  6 Al 2.69-2.98
11 Pm 0.1570 0.2500 0.3141  6 Ga 3.15, 6 Al 3.17-3.45
12 Pm 0.8430 0.7500 0.6859  6 Ga 3.15, 6 Al 3.17-3.45
13 Pm 0.9460 0.2500 0.8920  9 Ga 3.20-3.28, 4 Al 3.45
14 Pm 0.0540 0.7500 0.1080  9 Ga 3.20-3.28, 4 Al 3.45

---

Record 4
## Er3Tm3MgTe8 (PBE)

Data for a relaxed structure of Er3Tm3MgTe8.

E ... -72.15 eV/cell
Density ... 7.57 Mg/m³
Formation energy (no corrections) ... -1221.2 meV per atom

Unit cell a=8.6060 b=8.6062 c=8.5998 alpha=120.02 beta=90.00 gamma=120.00
Last column: nearest neighbours and their distance in Å.
Fractional coordinates of all 15 atoms:
1 Te 0.7520 0.9990 0.2510  1 Mg 3.02, 2 Tm 3.04, 2 Er 3.05
2 Te 0.7505 0.5010 0.7514  3 Tm 3.04, 3 Er 3.05
3 Te 0.7530 0.0010 0.7490  1 Mg 3.02, 2 Tm 3.04, 2 Er 3.05
4 Te 0.2480 0.0010 0.7490  1 Mg 3.02, 2 Tm 3.04, 2 Er 3.05
5 Te 0.2495 0.4990 0.2486  3 Tm 3.04, 3 Er 3.05
6 Te 0.7520 0.5039 0.2509  1 Mg 3.02, 2 Tm 3.04, 2 Er 3.05
7 Te 0.2470 0.9990 0.2510  1 Mg 3.02, 2 Tm 3.04, 2 Er 3.05
8 Te 0.2480 0.4961 0.7491  1 Mg 3.02, 2 Tm 3.04, 2 Er 3.05
9 Tm 0.0000 0.0000 0.0000  6 Te 3.04
10 Tm 0.0000 0.5000 0.0000  6 Te 3.04
11 Tm 0.5000 0.5000 0.0000  6 Te 3.04
12 Er 0.5000 0.0000 0.5000  6 Te 3.05
13 Er 0.5000 0.5000 0.5000  6 Te 3.05
14 Er 0.0000 0.5000 0.5000  6 Te 3.05
15 Mg 0.0000 0.0000 0.5000  6 Te 3.02

---

Record 5
## AcTlCuO4 (PBE)

Data for a relaxed structure of AcTlCuO4.

E ... -80.29 eV/cell
Density ... 8.46 Mg/m³
Formation energy (no corrections) ... -1391.7 meV per atom

Unit cell a=5.9264 b=5.7346 c=6.7675 alpha=90.00 beta=107.54 gamma=90.00
Last column: nearest neighbours and their distance in Å.
Fractional coordinates of all 14 atoms:
1 O 0.5316 0.2500 0.8574  1 Cu 1.98
2 O 0.0087 0.9888 0.2598  1 Cu 1.98
3 O 0.9913 0.4888 0.7402  1 Cu 1.98
4 O 0.4895 0.2500 0.4237  1 Cu 1.89
5 O 0.0087 0.5112 0.2598  1 Cu 1.98
6 O 0.9913 0.0112 0.7402  1 Cu 1.98
7 O 0.5105 0.7500 0.5763  1 Cu 1.89
8 O 0.4684 0.7500 0.1426  1 Cu 1.98
9 Cu 0.7379 0.2500 0.6754  4 O 1.89-1.98
10 Cu 0.2621 0.7500 0.3246  4 O 1.89-1.98
11 Ac 0.2676 0.2500 0.0673  2 O 2.37-2.41
12 Ac 0.7324 0.7500 0.9327  2 O 2.37-2.41
13 Tl 0.1868 0.2500 0.5505  6 O 2.21-2.44
14 Tl 0.8132 0.7500 0.4495  6 O 2.21-2.44

---

Record 6
## Sc2FeBi (PBE)

Data for a relaxed structure of Sc2FeBi.

E ... -25.67 eV/cell
Relative energy among the computed polymorphs ... 0.000 eV/atom
DFT formation energy ... -0.167 eV per atom
Density ... 7.21 Mg/m³

Unit cell a=4.8699 b=4.8699 c=4.8699 alpha=60.00 beta=60.00 gamma=60.00
Last column: nearest neighbours and their distance in Å.
Fractional coordinates of all 4 atoms:
1 Bi 0.5000 0.5000 0.5000  8 Sc 2.98
2 Fe 0.0000 0.0000 0.0000  8 Sc 2.98
3 Sc 0.7500 0.7500 0.7500  4 Bi 2.98, 4 Fe 2.98
4 Sc 0.2500 0.2500 0.2500  4 Fe 2.98, 4 Bi 2.98

---

Record 7
## LaYTc2Sn (PBE)

Data for a relaxed structure of LaYTc2Sn.

E ... -28.90 eV/cell
DFT formation energy ... 1.445 eV per atom
Density ... 6.58 Mg/m³

Unit cell a=4.9019 b=5.6974 c=4.9019 alpha=90.00 beta=90.00 gamma=90.00
Last column: nearest neighbours and their distance in Å.
Fractional coordinates of all 5 atoms:
1 Tc 0.0000 0.0000 0.5000  2 Y 2.45
2 Tc 0.5000 0.0000 0.0000  2 Y 2.45
3 Y 0.0000 0.0000 0.0000  4 Tc 2.45
4 La 0.0000 0.5000 0.0000  2 Y 2.85
5 Sn 0.5000 0.5000 0.5000  4 La 3.47, 8 Tc 3.76

---

Record 8
## Ca2TbN2Cl2 (PBE)

Data for a relaxed structure of Ca2TbN2Cl2.

E ... -38.97 eV/cell
Density ... 3.96 Mg/m³
Formation energy (no corrections) ... -1427.4 meV per atom

Unit cell a=4.4410 b=4.4410 c=7.8404 alpha=106.45 beta=106.45 gamma=90.00
Last column: nearest neighbours and their distance in Å.
Fractional coordinates of all 7 atoms:
1 Ca 0.6078 0.6078 0.2155  4 N 2.71, 1 Cl 2.87
2 Ca 0.3922 0.3922 0.7845  4 N 2.71, 1 Cl 2.87
3 Tb 0.0000 0.0000 0.0000  4 N 2.22
4 Cl 0.1923 0.1923 0.3846  1 Tb 2.76, 1 Ca 2.87
5 Cl 0.8077 0.8077 0.6154  1 Tb 2.76, 1 Ca 2.87
6 N 0.0000 0.5000 0.0000  2 Tb 2.22
7 N 0.5000 0.0000 0.0000  2 Tb 2.22

---

Record 9
## LaCr2Se (PBE)

Data for a relaxed structure of LaCr2Se.

E ... -28.58 eV/cell
Density ... 6.07 Mg/m³
Formation energy (no corrections) ... -229.7 meV per atom

Unit cell a=3.8003 b=3.8436 c=6.0270 alpha=90.14 beta=90.00 gamma=90.00
Last column: nearest neighbours and their distance in Å.
Fractional coordinates of all 4 atoms:
1 Se 0.5000 0.8747 0.7750  4 Cr 2.69
2 Cr 0.0000 0.8756 0.0908  2 Se 2.69, 4 Cr 2.70
3 Cr 0.5000 0.3758 0.0876  2 Se 2.69, 4 Cr 2.70
4 La 0.0000 0.3738 0.5466  4 Se 3.03, 4 Cr 3.34-3.36

---

Record 10
## InCu2Ge (PBE)

Data for a relaxed structure of InCu2Ge.

E ... -14.92 eV/cell
DFT formation energy ... 0.158 eV per atom
Density ... 7.87 Mg/m³

Unit cell a=3.1914 b=3.1914 c=6.5189 alpha=90.00 beta=90.00 gamma=90.00
Last column: nearest neighbours and their distance in Å.
Fractional coordinates of all 4 atoms:
1 Cu 0.0000 0.0000 0.7836  4 Ge 2.66, 1 Cu 2.82, 4 In 2.92
2 Cu 0.0000 0.0000 0.2164  4 Ge 2.66, 1 Cu 2.82, 4 In 2.92
3 In 0.5000 0.5000 0.5000  8 Cu 2.92, 4 In 3.19, 2 Ge 3.26
4 Ge 0.5000 0.5000 0.0000  8 Cu 2.66

---

Record 11
## PrY2Tm8 (PBE)

Data for a relaxed structure of PrY2Tm8.

E ... -51.45 eV/cell
Relative energy among the computed polymorphs ... 0.076 eV/atom
DFT formation energy ... 0.185 eV per atom
Density ... 7.90 Mg/m³

Unit cell a=6.5870 b=6.6006 c=8.8529 alpha=99.76 beta=111.84 gamma=90.00
Last column: nearest neighbours and their distance in Å.
Fractional coordinates of all 11 atoms:
1 Y 0.2411 0.3013 0.4823  9 Tm 3.24-3.48
2 Y 0.7589 0.6987 0.5177  9 Tm 3.24-3.48
3 Tm 0.3538 0.4132 0.1783  3 Tm 3.10-3.37, 2 Y 3.24-3.44, 1 Pr 3.34
4 Tm 0.8245 0.4132 0.1783  3 Tm 3.10-3.37, 2 Y 3.24-3.44, 1 Pr 3.34
5 Tm 0.7922 0.2064 0.5845  4 Y 3.30-3.48, 3 Tm 3.37-3.57
6 Tm 0.2078 0.7936 0.4155  4 Y 3.30-3.48, 3 Tm 3.37-3.57
7 Tm 0.4117 0.0952 0.8234  1 Y 3.33, 8 Tm 3.37-3.69, 2 Pr 3.70
8 Tm 0.1755 0.5868 0.8217  3 Tm 3.10-3.37, 2 Y 3.24-3.44, 1 Pr 3.34
9 Tm 0.6462 0.5868 0.8217  3 Tm 3.10-3.37, 2 Y 3.24-3.44, 1 Pr 3.34
10 Tm 0.5883 0.9048 0.1766  1 Y 3.33, 8 Tm 3.37-3.69, 2 Pr 3.70
11 Pr 0.0000 0.0000 0.0000  8 Tm 3.34-3.70

---

Record 12
## FeAg4As (PBE)

Data for a relaxed structure of FeAg4As.

E ... -21.35 eV/cell
DFT formation energy ... 0.529 eV per atom
Density ... 8.23 Mg/m³

Unit cell a=5.4336 b=5.4336 c=5.4336 alpha=60.00 beta=60.00 gamma=60.00
Last column: nearest neighbours and their distance in Å.
Fractional coordinates of all 6 atoms:
1 Ag 0.8760 0.3747 0.3747  6 Ag 2.71-2.72
2 Ag 0.3747 0.3747 0.3747  6 Ag 2.71-2.72
3 Ag 0.3747 0.8760 0.3747  6 Ag 2.71-2.72
4 Ag 0.3747 0.3747 0.8760  6 Ag 2.71-2.72
5 As 0.7500 0.7500 0.7500  12 Ag 3.19, 4 Fe 3.33
6 Fe 0.0000 0.0000 0.0000  12 Ag 3.19, 4 As 3.33

---

Record 13
## BaY2Cd (PBE)

Data for a relaxed structure of BaY2Cd.

E ... -15.92 eV/cell
DFT formation energy ... -0.039 eV per atom
Density ... 5.08 Mg/m³

Unit cell a=7.1133 b=7.1133 c=7.1133 alpha=149.02 beta=130.41 gamma=59.63
Last column: nearest neighbours and their distance in Å.
Fractional coordinates of all 4 atoms:
1 Cd 0.2500 0.7500 0.5000  4 Y 3.24, 4 Ba 3.54
2 Y 0.4627 0.4627 0.0000  2 Cd 3.24
3 Y 0.0373 0.0373 0.0000  2 Cd 3.24
4 Ba 0.7500 0.2500 0.5000  4 Cd 3.54, 2 Ba 3.80

---

Record 14
## Tl3AgF (PBE)

Data for a relaxed structure of Tl3AgF.

E ... -12.94 eV/cell
Relative energy among the computed polymorphs ... 0.227 eV/atom
Density ... 7.18 Mg/m³
Formation energy (no corrections) ... -223.9 meV per atom

Unit cell a=5.5533 b=5.5533 c=5.5533 alpha=90.00 beta=90.00 gamma=90.00
Last column: nearest neighbours and their distance in Å.
Fractional coordinates of all 5 atoms:
1 Tl 0.5000 0.0000 0.0000  2 Ag 2.78
2 Tl 0.0000 0.0000 0.5000  2 Ag 2.78
3 Tl 0.0000 0.5000 0.0000  2 Ag 2.78
4 F 0.5000 0.5000 0.5000  12 Tl 3.93
5 Ag 0.0000 0.0000 0.0000  6 Tl 2.78

---

Record 15
## PdPt (PBE)

Data for a relaxed structure of PdPt.

E ... -54.20 eV/cell
DFT formation energy ... 1.100 eV per atom
Density ... 8.61 Mg/m³

Unit cell a=9.6452 b=9.6452 c=4.3282 alpha=90.00 beta=90.00 gamma=120.00
Last column: nearest neighbours and their distance in Å.
Fractional coordinates of all 12 atoms:
1 Pt 0.6633 0.5923 0.2500  4 Pd 2.47-2.52
2 Pt 0.9290 0.3367 0.2500  4 Pd 2.47-2.52
3 Pt 0.3367 0.4077 0.7500  4 Pd 2.47-2.52
4 Pt 0.0710 0.6633 0.7500  4 Pd 2.47-2.52
5 Pt 0.5923 0.9290 0.7500  4 Pd 2.47-2.52
6 Pt 0.4077 0.0710 0.2500  4 Pd 2.47-2.52
7 Pd 0.9200 0.5934 0.2500  4 Pt 2.47-2.52
8 Pd 0.6734 0.0800 0.2500  4 Pt 2.47-2.52
9 Pd 0.5934 0.6734 0.7500  4 Pt 2.47-2.52
10 Pd 0.3266 0.9200 0.7500  4 Pt 2.47-2.52
11 Pd 0.4066 0.3266 0.2500  4 Pt 2.47-2.52
12 Pd 0.0800 0.4066 0.7500  4 Pt 2.47-2.52

---

Record 16
## Ag2AuCl (PBE)

Data for a relaxed structure of Ag2AuCl.

E ... -11.03 eV/cell
Relative energy among the computed polymorphs ... 0.080 eV/atom
Density ... 7.81 Mg/m³
Formation energy (no corrections) ... -49.7 meV per atom

Unit cell a=3.4577 b=4.2261 c=6.5227 alpha=90.36 beta=90.00 gamma=90.00
Last column: nearest neighbours and their distance in Å.
Fractional coordinates of all 4 atoms:
1 Ag 0.5000 0.0544 0.3983  1 Cl 2.57, 4 Au 2.78-2.81
2 Ag 0.0000 0.0574 0.0290  2 Cl 2.60, 2 Au 2.74-2.82
3 Cl 0.5000 0.8396 0.7666  3 Ag 2.57-2.60
4 Au 0.0000 0.5486 0.3061  6 Ag 2.74-2.82

---

Record 17
## Al2V7Ge2 (PBE)

Data for a relaxed structure of Al2V7Ge2.

E ... -81.17 eV/cell
DFT formation energy ... -0.056 eV per atom
Density ... 5.89 Mg/m³

Unit cell a=6.3588 b=4.4020 c=6.3588 alpha=69.75 beta=96.86 gamma=110.24
Last column: nearest neighbours and their distance in Å.
Fractional coordinates of all 11 atoms:
1 V 0.0001 0.8047 0.3910  3 V 2.33-2.56
2 V 0.5001 0.7469 0.4999  2 V 2.17-2.23
3 V 0.3910 0.1953 0.0001  3 V 2.33-2.56
4 V 0.9999 0.1953 0.6090  3 V 2.33-2.56
5 V 0.6090 0.8047 0.9999  3 V 2.33-2.56
6 V 0.4999 0.2531 0.5001  2 V 2.17-2.23
7 V 0.0000 0.0000 0.0000  4 V 2.33
8 Ge 0.7799 0.2800 0.2201  2 Al 2.61, 10 V 2.61-2.88
9 Ge 0.2201 0.7200 0.7799  2 Al 2.61, 10 V 2.61-2.88
10 Al 0.2171 0.5000 0.2171  2 Ge 2.61, 10 V 2.62-2.86
11 Al 0.7829 0.5000 0.7829  2 Ge 2.61, 10 V 2.62-2.86

---

Record 18
## GeO2 (PBE)

Data for a relaxed structure of GeO2.

E ... -154.00 eV/cell
Density ... 4.23 Mg/m³
Formation energy (no corrections) ... -1572.1 meV per atom

Unit cell a=7.6284 b=7.6284 c=7.4903 alpha=76.37 beta=76.37 gamma=120.87
Last column: nearest neighbours and their distance in Å.
Fractional coordinates of all 24 atoms:
1 Ge 0.3207 0.0429 0.4296  4 O 1.72-1.78
2 Ge 0.9571 0.6793 0.0704  4 O 1.72-1.78
3 Ge 0.0429 0.3207 0.9296  4 O 1.72-1.78
4 Ge 0.8047 0.6239 0.5468  4 O 1.75-1.77
5 Ge 0.6239 0.8047 0.0468  4 O 1.75-1.77
6 Ge 0.3761 0.1953 0.9532  4 O 1.75-1.77
7 Ge 0.1953 0.3761 0.4532  4 O 1.75-1.77
8 Ge 0.6793 0.9571 0.5704  4 O 1.72-1.78
9 O 0.2807 0.3624 0.9671  2 Ge 1.77-1.78
10 O 0.0923 0.4031 0.6722  2 Ge 1.75-1.76
11 O 0.4031 0.0923 0.1722  2 Ge 1.75-1.76
12 O 0.0348 0.8123 0.5891  2 Ge 1.77
13 O 0.0000 0.5000 0.0000  2 Ge 1.72
14 O 0.9077 0.5969 0.3278  2 Ge 1.75-1.76
15 O 0.9652 0.1877 0.4109  2 Ge 1.77
16 O 0.5000 0.0000 0.5000  2 Ge 1.72
17 O 0.6448 0.3552 0.7500  2 Ge 1.76
18 O 0.3624 0.2807 0.4671  2 Ge 1.77-1.78
19 O 0.8123 0.0348 0.0891  2 Ge 1.77
20 O 0.5969 0.9077 0.8278  2 Ge 1.75-1.76
21 O 0.3552 0.6448 0.2500  2 Ge 1.76
22 O 0.7193 0.6376 0.0329  2 Ge 1.77-1.78
23 O 0.1877 0.9652 0.9109  2 Ge 1.77
24 O 0.6376 0.7193 0.5329  2 Ge 1.77-1.78

---

Record 19
## Pr2SiTcC (PBE)

Data for a relaxed structure of Pr2SiTcC.

E ... -71.89 eV/cell
Density ... 6.19 Mg/m³
Formation energy (no corrections) ... -274.5 meV per atom

Unit cell a=4.2290 b=6.3904 c=8.8449 alpha=109.55 beta=90.00 gamma=90.00
Last column: nearest neighbours and their distance in Å.
Fractional coordinates of all 10 atoms:
1 Tc 0.7500 0.5009 0.2573  1 C 1.86
2 Tc 0.2500 0.4991 0.7427  1 C 1.86
3 Si 0.7500 0.3128 0.7012  2 Tc 2.39
4 Si 0.2500 0.6872 0.2988  2 Tc 2.39
5 Pr 0.7500 0.7877 0.6155  2 C 2.80, 1 Tc 3.08
6 Pr 0.7500 0.7699 0.0246  3 C 2.58-2.80
7 Pr 0.2500 0.2123 0.3845  2 C 2.80, 1 Tc 3.08
8 Pr 0.2500 0.2301 0.9754  3 C 2.58-2.80
9 C 0.7500 0.1933 0.1726  1 Tc 1.86
10 C 0.2500 0.8067 0.8274  1 Tc 1.86

---

Record 20
## AlCdB3 (PBE)

Data for a relaxed structure of AlCdB3.

E ... -13.37 eV/cell
Relative energy among the computed polymorphs ... 0.593 eV/atom
DFT formation energy ... 2.264 eV per atom
Density ... 3.38 Mg/m³

Unit cell a=4.3859 b=4.3859 c=4.3859 alpha=90.00 beta=90.00 gamma=90.00
Last column: nearest neighbours and their distance in Å.
Fractional coordinates of all 5 atoms:
1 Al 0.5000 0.5000 0.5000  12 B 3.10
2 B 0.0000 0.5000 0.0000  2 Cd 2.19
3 B 0.0000 0.0000 0.5000  2 Cd 2.19
4 B 0.5000 0.0000 0.0000  2 Cd 2.19
5 Cd 0.0000 0.0000 0.0000  6 B 2.19